Here is a relaxed Hf4SbS crystal from Alexandria. Energies are from GGA-PBE.

- density (g/cm3) = 11.31
- E_tot (eV per cell) = -102.28
- formation energy (no corrections) (eV per atom) = -0.51

```
data_Hf4SbS
_chemical_formula_sum 'Hf8 Sb2 S2'
_cell_length_a 7.609
_cell_length_b 7.609
_cell_length_c 6.539
_cell_angle_alpha 104.76
_cell_angle_beta 104.76
_cell_angle_gamma 44.42
_space_group_name_H-M_alt 'P 1'
_space_group_IT_number 1
_space_group_name_Hall 'P 1'
loop_
_atom_site_label
_atom_site_fract_x
_atom_site_fract_y
_atom_site_fract_z
Hf1 0.002 0.821 0.546
Hf2 0.179 0.998 0.954
Hf3 0.209 0.422 0.867
Hf4 0.422 0.209 0.367
Hf5 0.578 0.791 0.633
Hf6 0.791 0.578 0.133
Hf7 0.821 0.002 0.046
Hf8 0.998 0.179 0.454
Sb1 0.379 0.621 0.250
Sb2 0.621 0.379 0.750
S1 0.000 0.500 0.500
S2 0.500 0.000 0.000
```


Here is a relaxed HfSbS2 crystal from Alexandria. Energies are from GGA-PBE.

- density (g/cm3) = 5.30
- E_tot (eV per cell) = -94.58
- formation energy (no corrections) (eV per atom) = -0.33

```
data_HfSbS2
_chemical_formula_sum 'Hf4 Sb4 S8'
_cell_length_a 6.541
_cell_length_b 6.541
_cell_length_c 10.680
_cell_angle_alpha 90.00
_cell_angle_beta 90.00
_cell_angle_gamma 90.00
_space_group_name_H-M_alt 'P 1'
_space_group_IT_number 1
_space_group_name_Hall 'P 1'
loop_
_atom_site_label
_atom_site_fract_x
_atom_site_fract_y
_atom_site_fract_z
Hf1 0.000 0.000 0.000
Hf2 0.000 0.500 0.250
Hf3 0.500 0.000 0.750
Hf4 0.500 0.500 0.500
Sb1 0.000 0.000 0.500
Sb2 0.000 0.500 0.750
Sb3 0.500 0.000 0.250
Sb4 0.500 0.500 0.000
S1 0.178 0.250 0.125
S2 0.250 0.678 0.375
S3 0.250 0.822 0.875
S4 0.322 0.250 0.625
S5 0.678 0.750 0.625
S6 0.750 0.178 0.875
S7 0.750 0.322 0.375
S8 0.822 0.750 0.125
```


Here is a relaxed HfSbTe2S crystal from Alexandria. Energies are from GGA-PBE.

- density (g/cm3) = 7.24
- offset from the most stable computed form (kJ/mol of atoms) = 15.4
- E_tot (eV per cell) = -21.81
- formation energy (no corrections) (eV per atom) = 0.53

```
data_HfSbTe2S
_chemical_formula_sum 'Hf1 Sb1 Te2 S1'
_cell_length_a 5.081
_cell_length_b 5.081
_cell_length_c 5.222
_cell_angle_alpha 90.00
_cell_angle_beta 90.00
_cell_angle_gamma 90.00
_space_group_name_H-M_alt 'P 1'
_space_group_IT_number 1
_space_group_name_Hall 'P 1'
loop_
_atom_site_label
_atom_site_fract_x
_atom_site_fract_y
_atom_site_fract_z
Hf1 0.000 0.000 0.000
Sb1 0.500 0.500 0.000
Te1 0.000 0.500 0.500
Te2 0.500 0.000 0.500
S1 0.500 0.500 0.500
```


Here is a relaxed HfSbTe2S crystal from Alexandria. Energies are from GGA-PBE.

- density (g/cm3) = 5.92
- offset from the most stable computed form (kJ/mol of atoms) = 0.0
- E_tot (eV per cell) = -22.61
- formation energy (no corrections) (eV per atom) = 0.37

```
data_HfSbTe2S
_chemical_formula_sum 'Hf1 Sb1 Te2 S1'
_cell_length_a 5.408
_cell_length_b 5.408
_cell_length_c 5.634
_cell_angle_alpha 90.00
_cell_angle_beta 90.00
_cell_angle_gamma 90.00
_space_group_name_H-M_alt 'P 1'
_space_group_IT_number 1
_space_group_name_Hall 'P 1'
loop_
_atom_site_label
_atom_site_fract_x
_atom_site_fract_y
_atom_site_fract_z
Hf1 0.000 0.000 0.000
Sb1 0.000 0.000 0.500
Te1 0.000 0.500 0.000
Te2 0.500 0.000 0.000
S1 0.500 0.500 0.500
```


Here is a relaxed Hf2TiSbS crystal from Alexandria. Energies are from GGA-PBE.

- density (g/cm3) = 8.04
- E_tot (eV per cell) = -35.49
- formation energy (no corrections) (eV per atom) = 0.11

```
data_Hf2TiSbS
_chemical_formula_sum 'Hf2 Ti1 Sb1 S1'
_cell_length_a 4.679
_cell_length_b 4.679
_cell_length_c 5.268
_cell_angle_alpha 90.00
_cell_angle_beta 90.00
_cell_angle_gamma 90.00
_space_group_name_H-M_alt 'P 1'
_space_group_IT_number 1
_space_group_name_Hall 'P 1'
loop_
_atom_site_label
_atom_site_fract_x
_atom_site_fract_y
_atom_site_fract_z
Hf1 0.000 0.500 0.000
Hf2 0.500 0.000 0.000
Ti1 0.000 0.000 0.500
Sb1 0.500 0.500 0.500
S1 0.500 0.500 0.000
```


Here is a relaxed HfTl2Sb2S6 crystal from Alexandria. Energies are from GGA-PBE.

- density (g/cm3) = 5.65
- E_tot (eV per cell) = -53.87
- formation energy (no corrections) (eV per atom) = -0.56

```
data_HfTl2Sb2S6
_chemical_formula_sum 'Hf1 Tl2 Sb2 S6'
_cell_length_a 6.400
_cell_length_b 6.400
_cell_length_c 8.244
_cell_angle_alpha 104.05
_cell_angle_beta 104.05
_cell_angle_gamma 68.69
_space_group_name_H-M_alt 'P 1'
_space_group_IT_number 1
_space_group_name_Hall 'P 1'
loop_
_atom_site_label
_atom_site_fract_x
_atom_site_fract_y
_atom_site_fract_z
Hf1 0.000 0.000 0.000
Tl1 0.187 0.187 0.613
Tl2 0.813 0.813 0.387
Sb1 0.403 0.403 0.268
Sb2 0.597 0.597 0.732
S1 0.188 0.712 0.754
S2 0.237 0.237 0.997
S3 0.288 0.812 0.246
S4 0.712 0.188 0.754
S5 0.763 0.763 0.003
S6 0.812 0.288 0.246
```


formation energy (no corrections) of number 5 (Hf2TiSbS)? 0.11 eV per atom


Among the records above, which one has the lowest E_tot? Hf4SbS